VASP calculation (PBE) on a geometry-optimized PmTm4Hg2 structure.

Output
M_tot ... 0.00 μB per formula unit
E_form ... 0.18 eV per formula unit
Total DFT energy (no corrections) ... -23.06 eV/f.u.
V ... 220.2 Å³/cell
Space-group type ... R-3m

Cell and atoms, written as POSCAR:
```
PmTm4Hg2
1.0
2.492 1.439 10.234
-2.492 1.439 10.234
0.000 -2.878 10.234
Pm Tm Hg
1 4 2
direct
0.000 0.000 0.000
0.202 0.202 0.202
0.396 0.396 0.396
0.604 0.604 0.604
0.798 0.798 0.798
0.102 0.102 0.102
0.898 0.898 0.898
```

***

VASP calculation (PBE) on a geometry-optimized KTa2 structure.

Output
M_tot ... 0.00 μB per formula unit
E_form ... 5.31 eV per formula unit
Total DFT energy (no corrections) ... -19.50 eV/f.u.
Polymorph energy (0 for the lowest one) ... 1219.8 meV per atom
V ... 166.9 Å³/cell
Space-group type ... I4/mcm

Cell and atoms, written as POSCAR:
```
KTa2
1.0
-4.151 4.151 2.421
4.151 -4.151 2.421
4.151 4.151 -2.421
K Ta
2 4
direct
0.250 0.250 0.000
0.750 0.750 0.000
0.105 0.605 0.710
0.395 0.105 0.500
0.605 0.895 0.500
0.895 0.395 0.290
```

***

VASP calculation (PBE) on a geometry-optimized LaCo2H structure.

Output
M_tot ... 0.00 μB per formula unit
Total DFT energy (no corrections) ... -22.88 eV/f.u.
Polymorph energy (0 for the lowest one) ... 0.0 meV per atom
V ... 105.5 Å³/cell
Space-group type ... Fd-3m

Cell and atoms, written as POSCAR:
```
LaCo2H
1.0
0.000 3.751 3.751
3.751 0.000 3.751
3.751 3.751 0.000
La Co H
2 4 2
direct
0.125 0.125 0.125
0.875 0.875 0.875
0.000 0.500 0.500
0.500 0.000 0.500
0.500 0.500 0.000
0.500 0.500 0.500
0.375 0.375 0.375
0.625 0.625 0.625
```

***

- Among the records above, which one has the highest total DFT energy (no corrections)?
  KTa2

***

- What is the formula in the second record?
  KTa2

***

- What is the M_tot in the first record?
  0.00 μB per formula unit

***

- Among the records above, which one has the highest V?
  PmTm4Hg2